Density functional theory data (PBE) for a geometry-optimized NaCa2FeNi structure.

a b c (Å): 5.289 5.289 5.156
angles (deg): 90.00 90.00 90.00
Element x y z (fractional)
Na1 0.000 0.000 0.000
Ca1 0.000 0.500 0.500
Ca2 0.500 0.000 0.500
Fe1 0.500 0.500 0.000
Ni1 0.000 0.000 0.500

ΔH_f (0 K)   0.684 eV per atom
VASP energy   -16.1 eV/cell